1.
A relaxed structure of SrIn2Ag, computed with PBE-GGA.

The structure in POSCAR format:
```
SrIn2Ag
1.0
5.119 0.000 0.000
0.000 5.119 0.000
2.559 2.559 9.939
Ag In Sr
2 4 2
Direct
0.000 0.000 0.000 Ag
0.750 0.250 0.500 Ag
0.754 0.125 0.250 In
0.375 0.246 0.750 In
0.875 0.004 0.750 In
0.996 0.625 0.250 In
0.500 0.500 0.000 Sr
0.250 0.750 0.500 Sr
```

Computed properties:
As for the space group: I-42d. As for the energy relative to the elements: -0.095 eV per atom.

---

2.
A relaxed structure of Sr2InAg2, computed with PBE-GGA.

The structure in POSCAR format:
```
Sr2InAg2
1.0
3.956 0.000 0.000
0.000 3.956 0.000
1.978 1.978 9.781
Sr Ag In
2 2 1
Direct
0.390 0.390 0.220 Sr
0.610 0.610 0.780 Sr
0.750 0.250 0.500 Ag
0.250 0.750 0.500 Ag
0.000 0.000 0.000 In
```

Computed properties:
As for the space group: I4/mmm. As for the energy relative to the elements: -0.216 eV per atom.

---

Question: Look up the energy relative to the elements of the first one.
Answer: -0.095 eV per atom

---

Question: Number 1 is which compound?
Answer: SrIn2Ag

---

Question: Which value of energy relative to the elements does entry 2 give?
Answer: -0.216 eV per atom

---

Question: Look up the energy relative to the elements of the first one.
Answer: -0.095 eV per atom